# 1
Entry from Alexandria via LeMat-Bulk: SrBeNi after structural relaxation (GGA-PBE).

Properties
The formation energy comes out at -0.3 eV per formula unit.

a b c (Å): 4.0224 4.0224 8.4989
angles (deg): 90.00 90.00 90.00
Space group P4/nmm (No. 129, origin choice 2)
Symmetry-distinct sites (fractional):
Sr (0.2500, 0.2500, 0.2142) x2
Be (0.2500, 0.2500, 0.5870) x2
Ni (0.2500, 0.7500, 0.5000) x2

# 2
Entry from Alexandria via LeMat-Bulk: Rb2Ag3F8 after structural relaxation (GGA-PBE).

Properties
As for the energy relative to the elements, uncorrected: -1.657 eV per atom.

a b c (Å): 12.4193 6.9895 6.6052
angles (deg): 90.00 108.04 90.00
Space group C2/m (No. 12)
Symmetry-distinct sites (fractional):
Rb (0.2136, 0.0000, 0.1679) x4
Ag (0.0000, 0.2491, 0.5000) x4
Ag (0.0000, 0.5000, 0.0000) x2
F (0.0966, 0.2966, 0.9159) x8
F (0.0969, 0.5000, 0.4555) x4
F (0.0988, 0.0000, 0.4691) x4

# 3
Entry from Alexandria via LeMat-Bulk: LuBiPd2 after structural relaxation (GGA-PBE).

Properties
The formation energy comes out at -2.8 eV per formula unit.

a b c (Å): 3.5696 3.5696 6.5771
angles (deg): 90.00 90.00 90.00
Space group P4/mmm (No. 123)
Symmetry-distinct sites (fractional):
Lu (0.0000, 0.0000, 0.0000) x1
Bi (0.0000, 0.0000, 0.5000) x1
Pd (0.5000, 0.5000, 0.2229) x2

# 4
Entry from Alexandria via LeMat-Bulk: Ga6AgAu12 after structural relaxation (GGA-PBE).

Properties
The formation energy comes out at -0.9 eV per formula unit.

a b c (Å): 10.1531 10.1531 12.8000
angles (deg): 90.00 90.00 120.00
Space group R-3m (No. 166, hexagonal axes)
Symmetry-distinct sites (fractional):
Ga (0.0112, 0.5056, 0.1772) x18
Ag (0.0000, 0.0000, 0.5000) x3
Au (0.0000, 0.3621, 0.0000) x18
Au (0.0923, 0.1845, 0.8812) x18

# 5
Entry from Alexandria via LeMat-Bulk: TlSb2As2O6 after structural relaxation (GGA-PBE).

Properties
As for the energy relative to the elements, uncorrected: -1.010 eV per atom.

a b c (Å): 4.2837 7.4281 8.0320
angles (deg): 66.34 81.69 81.49
Space group P-1 (No. 2)
Symmetry-distinct sites (fractional):
Tl (0.0000, 0.0000, 0.0000) x1
Sb (0.2352, 0.3792, 0.1738) x2
As (0.3061, 0.6803, 0.4174) x2
O (0.1461, 0.6003, 0.2612) x2
O (0.2589, 0.5589, 0.9048) x2
O (0.4982, 0.1246, 0.7289) x2

# 6
Entry from Alexandria via LeMat-Bulk: RbLaP2Cl after structural relaxation (GGA-PBE).

Properties
As for the energy relative to the elements, uncorrected: 0.318 eV per atom.

a b c (Å): 5.2512 5.2512 5.4529
angles (deg): 90.00 90.00 90.00
Space group P4/mmm (No. 123)
Symmetry-distinct sites (fractional):
Rb (0.0000, 0.0000, 0.0000) x1
La (0.5000, 0.5000, 0.5000) x1
P (0.0000, 0.5000, 0.0000) x2
Cl (0.0000, 0.0000, 0.5000) x1